one | Here is a geometry-optimized CaPrNdSm structure from Alexandria via LeMat-Bulk. Energies are from PBE.

Results
Crystal system: trigonal

a b c (Å): 3.7057 3.7057 12.2517
angles (deg): 90.00 90.00 120.00
With the nearest neighbours (Å) after each atom.
Fractional positions:
Ca (0.0000, 0.0000, 0.0000)  6 Ca 3.71, 3 Nd 3.85, 3 Pr 3.87
Pr (0.6667, 0.3333, 0.2629)  3 Sm 3.63, 6 Pr 3.71, 3 Ca 3.87
Nd (0.3333, 0.6667, 0.7392)  3 Sm 3.61, 6 Nd 3.71, 3 Ca 3.85
Sm (0.0000, 0.0000, 0.5022)  3 Nd 3.61, 3 Pr 3.63, 6 Sm 3.71

two | Here is a geometry-optimized CaPrNdSm structure from Alexandria via LeMat-Bulk. Energies are from PBE.

Results
Crystal system: cubic

a b c (Å): 5.8996 5.8996 5.8996
angles (deg): 60.00 60.00 60.00
With the nearest neighbours (Å) after each atom.
Fractional positions:
Ca (0.0000, 0.0000, 0.0000)  4 Nd 3.61, 4 Pr 3.61
Pr (0.2500, 0.2500, 0.2500)  4 Ca 3.61, 4 Sm 3.61
Nd (0.7500, 0.7500, 0.7500)  4 Ca 3.61, 4 Sm 3.61
Sm (0.5000, 0.5000, 0.5000)  4 Nd 3.61, 4 Pr 3.61

The structure with the least stability is two.

one | Here is a geometry-optimized CaTbPrNd structure from Alexandria via LeMat-Bulk. Energies are from PBE.

Results
Crystal system: tetragonal

a b c (Å): 3.6801 3.6801 10.5996
angles (deg): 90.00 90.00 90.00
With the nearest neighbours (Å) after each atom.
Fractional positions:
Ca (0.0000, 0.0000, 0.0000)  4 Ca 3.68, 4 Nd 3.82, 4 Pr 3.84
Tb (0.0000, 0.0000, 0.5027)  4 Nd 3.59, 4 Pr 3.61, 4 Tb 3.68
Pr (0.5000, 0.5000, 0.2667)  4 Tb 3.61, 4 Pr 3.68, 4 Ca 3.84
Nd (0.5000, 0.5000, 0.7356)  4 Tb 3.59, 4 Nd 3.68, 4 Ca 3.82

two | Here is a geometry-optimized CaTbPrNd structure from Alexandria via LeMat-Bulk. Energies are from PBE.

Results
Crystal system: cubic

a b c (Å): 5.8734 5.8734 5.8734
angles (deg): 60.00 60.00 60.00
With the nearest neighbours (Å) after each atom.
Fractional positions:
Ca (0.0000, 0.0000, 0.0000)  4 Nd 3.60, 4 Pr 3.60
Tb (0.5000, 0.5000, 0.5000)  4 Nd 3.60, 4 Pr 3.60
Pr (0.7500, 0.7500, 0.7500)  4 Ca 3.60, 4 Tb 3.60
Nd (0.2500, 0.2500, 0.2500)  4 Tb 3.60, 4 Ca 3.60

The structure with the least stability is two.

one | Here is a geometry-optimized CaPrNdY structure from Alexandria via LeMat-Bulk. Energies are from PBE.

Results
Crystal system: trigonal

a b c (Å): 3.6835 3.6835 12.2296
angles (deg): 90.00 90.00 120.00
With the nearest neighbours (Å) after each atom.
Fractional positions:
Ca (0.0000, 0.0000, 0.0000)  6 Ca 3.68, 3 Nd 3.85, 3 Pr 3.87
Pr (0.6667, 0.3333, 0.2646)  3 Y 3.60, 6 Pr 3.68, 3 Ca 3.87
Nd (0.3333, 0.6667, 0.7376)  3 Y 3.58, 6 Nd 3.68, 3 Ca 3.85
Y (0.0000, 0.0000, 0.5022)  3 Nd 3.58, 3 Pr 3.60, 6 Y 3.68

two | Here is a geometry-optimized CaPrNdY structure from Alexandria via LeMat-Bulk. Energies are from PBE.

Results
Crystal system: cubic

a b c (Å): 5.8793 5.8793 5.8793
angles (deg): 60.00 60.00 60.00
With the nearest neighbours (Å) after each atom.
Fractional positions:
Ca (0.0000, 0.0000, 0.0000)  4 Pr 3.60, 4 Nd 3.60
Pr (0.2500, 0.2500, 0.2500)  4 Y 3.60, 4 Ca 3.60
Nd (0.7500, 0.7500, 0.7500)  4 Y 3.60, 4 Ca 3.60
Y (0.5000, 0.5000, 0.5000)  4 Pr 3.60, 4 Nd 3.60

The structure with the least stability is two.

one | Here is a geometry-optimized CaNd2Pt structure from Alexandria via LeMat-Bulk. Energies are from PBE.

Results
Crystal system: tetragonal

a b c (Å): 3.6535 3.6535 9.5923
angles (deg): 90.00 90.00 90.00
With the nearest neighbours (Å) after each atom.
Fractional positions:
Ca (0.0000, 0.0000, 0.0000)  4 Ca 3.65, 8 Nd 4.05
Nd (0.5000, 0.5000, 0.3246)  4 Pt 3.08, 1 Nd 3.37
Nd (0.5000, 0.5000, 0.6754)  4 Pt 3.08, 1 Nd 3.37
Pt (0.0000, 0.0000, 0.5000)  8 Nd 3.08

two | Here is a geometry-optimized CaNd2Pt structure from Alexandria via LeMat-Bulk. Energies are from PBE.

Results
Crystal system: orthorhombic

a b c (Å): 6.6233 6.6233 9.4318
angles (deg): 90.00 90.00 144.08
With the nearest neighbours (Å) after each atom.
Fractional positions:
Ca (0.0713, 0.9287, 0.7500)  2 Pt 3.16
Ca (0.9287, 0.0713, 0.2500)  2 Pt 3.16
Nd (0.3579, 0.6421, 0.5602)  3 Pt 2.97-3.30
Nd (0.3579, 0.6421, 0.9398)  3 Pt 2.97-3.30
Nd (0.6421, 0.3579, 0.0602)  3 Pt 2.97-3.30
Nd (0.6421, 0.3579, 0.4398)  3 Pt 2.97-3.30
Pt (0.2371, 0.7629, 0.2500)  6 Nd 2.97-3.30, 2 Ca 3.16
Pt (0.7629, 0.2371, 0.7500)  6 Nd 2.97-3.30, 2 Ca 3.16

three | Here is a geometry-optimized CaNd2Pt structure from Alexandria via LeMat-Bulk. Energies are from PBE.

Results
Crystal system: trigonal

a b c (Å): 9.6812 9.6812 9.6812
angles (deg): 25.15 25.15 25.15
With the nearest neighbours (Å) after each atom.
Fractional positions:
Ca (0.0000, 0.0000, 0.0000)  6 Nd 3.93-4.01, 6 Ca 4.22
Nd (0.2235, 0.2235, 0.2235)  3 Pt 2.88
Nd (0.4467, 0.4467, 0.4467)  3 Pt 2.89
Pt (0.8353, 0.8353, 0.8353)  6 Nd 2.88-2.89

The structure with the least stability is one.